Record 1
Computed, not measured: a relaxed LiBeSb4 crystal at the GGA-PBEsol level of DFT.

Cell: 6.140 6.140 6.140 Å, 60.00 60.00 60.00°
Atoms (fractional coordinates):
Be 0.750 0.750 0.750
Li 0.000 0.000 0.000
Sb 0.376 0.376 0.376
Sb 0.376 0.376 0.871
Sb 0.871 0.376 0.376
Sb 0.376 0.871 0.376

Properties
Symmetry   F-43m
Crystal system   cubic
Formation energy without anion corrections   303 kJ/mol of formula units

---

Record 2
Computed, not measured: a relaxed Li2CoRu crystal at the GGA-PBEsol level of DFT.

Cell: 2.537 2.537 8.988 Å, 81.89 81.89 60.00°
Site moments in Bohr magnetons follow the coordinates.
Atoms (fractional coordinates):
Co 0.000 0.000 0.000  1.50
Li 0.252 0.252 0.245  -0.01
Li 0.748 0.748 0.755  -0.01
Ru 0.500 0.500 0.500  0.00

Properties
Symmetry   R-3m
Crystal system   trigonal
Polymorph energy (0 for the lowest one)   0 meV/atom
DFT formation energy   0.240 eV/atom

---

Record 3
Computed, not measured: a relaxed Mg2ZnO3 crystal at the GGA-PBEsol level of DFT.

Cell: 2.999 2.999 7.324 Å, 90.00 90.00 120.00°
Atoms (fractional coordinates):
Zn 0.000 0.000 0.000
Mg 0.667 0.333 0.334
Mg 0.333 0.667 0.666
O 0.667 0.333 0.829
O 0.333 0.667 0.171
O 0.000 0.000 0.500

Properties
Symmetry   P-3m1
Crystal system   trigonal
Formation energy without anion corrections   -1317 kJ/mol of formula units

---

Record 4
Computed, not measured: a relaxed LiCo2O4 crystal at the GGA-PBEsol level of DFT.

Cell: 4.799 5.554 9.892 Å, 90.00 90.00 90.00°
Site moments in Bohr magnetons follow the coordinates.
Atoms (fractional coordinates):
Li 0.532 0.500 0.000  0.00
Li 0.861 0.500 0.500  0.00
Li 0.139 0.000 0.000  0.00
Li 0.468 0.000 0.500  0.00
Co 0.506 0.000 0.756  0.41
Co 0.494 0.500 0.744  0.41
Co 0.506 0.000 0.244  0.41
Co 0.494 0.500 0.256  0.41
Co 0.000 0.750 0.750  0.46
Co 0.000 0.750 0.250  0.46
Co 0.000 0.250 0.750  0.46
Co 0.000 0.250 0.250  0.46
O 0.666 0.752 0.349  0.03
O 0.666 0.752 0.651  0.03
O 0.666 0.248 0.349  0.03
O 0.666 0.248 0.651  0.03
O 0.844 0.000 0.849  0.06
O 0.844 0.000 0.151  0.06
O 0.823 0.500 0.843  0.03
O 0.823 0.500 0.157  0.03
O 0.177 0.000 0.343  0.03
O 0.177 0.000 0.657  0.03
O 0.156 0.500 0.349  0.06
O 0.156 0.500 0.651  0.06
O 0.334 0.748 0.151  0.03
O 0.334 0.252 0.151  0.03
O 0.334 0.748 0.849  0.03
O 0.334 0.252 0.849  0.03

Properties
Symmetry   Pmmn
Crystal system   orthorhombic
Polymorph energy (0 for the lowest one)   49 meV/atom
Formation energy without anion corrections   -879 kJ/mol of formula units

---

Record 5
Computed, not measured: a relaxed AlTlPt2 crystal at the GGA-PBEsol level of DFT.

Cell: 2.878 6.140 4.131 Å, 90.00 90.00 90.00°
Atoms (fractional coordinates):
Tl 0.375 0.460 0.000
Al 0.375 0.917 0.500
Pt 0.875 0.872 0.000
Pt 0.875 0.250 0.500

Properties
Symmetry   Pmm2
Crystal system   orthorhombic
Polymorph energy (0 for the lowest one)   119 meV/atom
DFT formation energy   -0.365 eV/atom

---

Record 6
Computed, not measured: a relaxed Li2MgZn crystal at the GGA-PBEsol level of DFT.

Cell: 3.123 3.123 7.042 Å, 90.00 90.00 90.00°
Atoms (fractional coordinates):
Zn 0.500 0.500 0.776
Mg 0.000 0.000 0.519
Li 0.000 0.000 0.976
Li 0.500 0.500 0.229

Properties
Symmetry   P4mm
Crystal system   tetragonal
DFT formation energy   -0.090 eV/atom

---

Number 3 is which compound? Mg2ZnO3